1.
## YRh (PBE-GGA)

Data for an optimized crystal structure of YRh.

Results
For the formation energy, the calculation gives -745 meV per atom. The magnetic moment is 0.000 μB per atom. The total energy comes out at -30.612 eV for the cell shown. The density of states at the Fermi level comes out at 2.359 states/eV per cell.

Unit cell a=4.2466 b=4.2466 c=5.7792 alpha=90.00 beta=90.00 gamma=120.00
With the nearest neighbours (Å) after each atom.
Sites, in units of the cell vectors:
Y1 0.3333 0.6667 0.2500  6 Rh 2.85
Y2 0.6667 0.3333 0.7500  6 Rh 2.85
Rh1 0.0000 0.0000 0.0000  6 Y 2.85, 2 Rh 2.89
Rh2 0.0000 0.0000 0.5000  6 Y 2.85, 2 Rh 2.89

***

2.
## YRh2 (PBE-GGA)

Data for an optimized crystal structure of YRh2.

Results
For the formation energy, the calculation gives -741 meV per atom. The magnetic moment is 0.000 μB per atom. The total energy comes out at -46.778 eV for the cell shown. The density of states at the Fermi level comes out at 3.080 states/eV per cell.

Unit cell a=5.3459 b=5.3459 c=5.3459 alpha=60.00 beta=60.00 gamma=60.00
With the nearest neighbours (Å) after each atom.
Sites, in units of the cell vectors:
Rh1 0.0000 0.5000 0.5000  6 Rh 2.67
Rh2 0.5000 0.0000 0.5000  6 Rh 2.67
Rh3 0.5000 0.5000 0.0000  6 Rh 2.67
Rh4 0.5000 0.5000 0.5000  6 Rh 2.67
Y1 0.1250 0.1250 0.1250  12 Rh 3.13, 4 Y 3.27
Y2 0.8750 0.8750 0.8750  12 Rh 3.13, 4 Y 3.27

***

3.
## YRh3 (PBE-GGA)

Data for an optimized crystal structure of YRh3.

Results
For the formation energy, the calculation gives -246 meV per atom. The magnetic moment is 0.460 μB per atom. The total energy comes out at -29.504 eV for the cell shown. The density of states at the Fermi level comes out at 6.710 states/eV per cell.

Unit cell a=4.5937 b=4.5937 c=4.5937 alpha=60.00 beta=60.00 gamma=60.00
With the nearest neighbours (Å) after each atom.
Sites, in units of the cell vectors:
Rh1 0.0000 0.0000 0.0000  4 Y 2.81, 4 Rh 2.81
Rh2 0.5000 0.5000 0.5000  4 Rh 2.81, 4 Y 2.81
Rh3 0.7500 0.7500 0.7500  8 Rh 2.81
Y1 0.2500 0.2500 0.2500  8 Rh 2.81

***

4.
## YRh3 (PBE-GGA)

Data for an optimized crystal structure of YRh3.

Results
For the formation energy, the calculation gives -414 meV per atom. The magnetic moment is 0.000 μB per atom. The total energy comes out at -60.352 eV for the cell shown. The density of states at the Fermi level comes out at 11.063 states/eV per cell.

Unit cell a=4.5795 b=5.1576 c=5.7750 alpha=90.00 beta=90.00 gamma=90.00
With the nearest neighbours (Å) after each atom.
Sites, in units of the cell vectors:
Y1 0.0000 0.3518 0.0000  12 Rh 2.91-2.96
Y2 0.5000 0.6482 0.5000  12 Rh 2.91-2.96
Rh1 0.5000 0.7153 0.0000  6 Rh 2.69-2.77, 4 Y 2.91-2.96
Rh2 0.0000 0.8496 0.2420  7 Rh 2.69-2.98, 4 Y 2.92-2.94
Rh3 0.5000 0.1504 0.2580  7 Rh 2.69-2.98, 4 Y 2.92-2.94
Rh4 0.0000 0.2847 0.5000  6 Rh 2.69-2.77, 4 Y 2.91-2.96
Rh5 0.0000 0.8496 0.7580  7 Rh 2.69-2.98, 4 Y 2.92-2.94
Rh6 0.5000 0.1504 0.7420  7 Rh 2.69-2.98, 4 Y 2.92-2.94

***

5.
## YRh5 (PBE-GGA)

Data for an optimized crystal structure of YRh5.

Results
For the formation energy, the calculation gives -114 meV per atom. The magnetic moment is 0.000 μB per atom. The total energy comes out at -43.903 eV for the cell shown. The density of states at the Fermi level comes out at 10.136 states/eV per cell.

Unit cell a=7.5049 b=7.5049 c=4.4723 alpha=90.00 beta=90.00 gamma=157.72
With the nearest neighbours (Å) after each atom.
Sites, in units of the cell vectors:
Y1 0.1112 0.8888 0.5000  10 Rh 2.83-2.93, 2 Y 2.90
Rh1 0.9908 0.0092 0.0000  10 Rh 2.76-3.07, 2 Y 2.85
Rh2 0.3309 0.6691 0.0000  12 Rh 2.72-2.90
Rh3 0.6748 0.3252 0.0000  6 Rh 2.72-2.90, 4 Y 2.83
Rh4 0.4413 0.5587 0.5000  10 Rh 2.73-2.90, 2 Y 2.89
Rh5 0.7843 0.2157 0.5000  10 Rh 2.73-2.90, 2 Y 2.93

***

6.
## YRh (PBE-GGA)

Data for an optimized crystal structure of YRh.

Results
For the formation energy, the calculation gives -211 meV per atom. The magnetic moment is 0.000 μB per atom. The total energy comes out at -28.476 eV for the cell shown. The density of states at the Fermi level comes out at 0.560 states/eV per cell.

Unit cell a=4.7173 b=4.7173 c=5.6466 alpha=90.00 beta=90.00 gamma=120.00
With the nearest neighbours (Å) after each atom.
Sites, in units of the cell vectors:
Y1 0.3333 0.6667 0.2500  5 Rh 2.72-2.82
Y2 0.6667 0.3333 0.7500  5 Rh 2.72-2.82
Rh1 0.3333 0.6667 0.7500  5 Y 2.72-2.82
Rh2 0.6667 0.3333 0.2500  5 Y 2.72-2.82

***

7.
## Y4Rh (PBE-GGA)

Data for an optimized crystal structure of Y4Rh.

Results
For the formation energy, the calculation gives -351 meV per atom. As for the energy above the most stable polymorph in this dataset: 0.0 kJ/mol of atoms. The magnetic moment is 0.110 μB per atom. The total energy comes out at -69.922 eV for the cell shown. The density of states at the Fermi level comes out at 12.201 states/eV per cell.

Unit cell a=7.3006 b=7.3006 c=7.2988 alpha=107.59 beta=107.59 gamma=113.30
With the nearest neighbours (Å) after each atom.
Sites, in units of the cell vectors:
Y1 0.6445 0.4667 0.7791  1 Rh 2.69
Y2 0.6876 0.8653 0.2209  1 Rh 2.69
Y3 0.7955 0.0159 0.8219  1 Rh 2.69
Y4 0.1940 0.9736 0.1781  1 Rh 2.69
Y5 0.2659 0.5455 0.3219  1 Rh 2.69
Y6 0.2236 0.9440 0.6781  1 Rh 2.69
Y7 0.1153 0.4376 0.7209  1 Rh 2.69
Y8 0.7167 0.3945 0.2791  1 Rh 2.69
Rh1 0.3304 0.3304 0.0000  4 Y 2.69
Rh2 0.5804 0.0804 0.5000  4 Y 2.69

***

8.
## YRh (PBE-GGA)

Data for an optimized crystal structure of YRh.

Results
For the formation energy, the calculation gives -614 meV per atom. The magnetic moment is 0.000 μB per atom. The total energy comes out at -90.261 eV for the cell shown. The density of states at the Fermi level comes out at 8.771 states/eV per cell.

Unit cell a=9.0496 b=9.0496 c=4.1678 alpha=90.00 beta=90.00 gamma=120.00
With the nearest neighbours (Å) after each atom.
Sites, in units of the cell vectors:
Y1 0.7983 0.5966 0.2500  4 Rh 2.80
Y2 0.2017 0.7983 0.7500  4 Rh 2.80
Y3 0.4034 0.2017 0.2500  4 Rh 2.80
Y4 0.2017 0.4034 0.7500  4 Rh 2.80
Y5 0.7983 0.2017 0.2500  4 Rh 2.80
Y6 0.5966 0.7983 0.7500  4 Rh 2.80
Rh1 0.4348 0.8697 0.2500  4 Rh 2.76-2.92, 4 Y 2.80
Rh2 0.5652 0.4348 0.7500  4 Rh 2.76-2.92, 4 Y 2.80
Rh3 0.1303 0.5652 0.2500  4 Rh 2.76-2.92, 4 Y 2.80
Rh4 0.5652 0.1303 0.7500  4 Rh 2.76-2.92, 4 Y 2.80
Rh5 0.4348 0.5652 0.2500  4 Rh 2.76-2.92, 4 Y 2.80
Rh6 0.8697 0.4348 0.7500  4 Rh 2.76-2.92, 4 Y 2.80

***

9.
## YRh3 (PBE-GGA)

Data for an optimized crystal structure of YRh3.

Results
For the formation energy, the calculation gives -340 meV per atom. The magnetic moment is 0.000 μB per atom. The total energy comes out at -29.878 eV for the cell shown. The density of states at the Fermi level comes out at 4.200 states/eV per cell.

Unit cell a=4.7688 b=4.7688 c=3.0379 alpha=90.00 beta=90.00 gamma=105.26
With the nearest neighbours (Å) after each atom.
Sites, in units of the cell vectors:
Rh1 0.0000 0.0000 0.0000  10 Rh 2.83-3.04, 2 Y 2.89
Rh2 0.0000 0.5000 0.5000  8 Rh 2.83-3.04, 4 Y 2.83
Rh3 0.5000 0.0000 0.5000  4 Y 2.83, 8 Rh 2.83-3.04
Y1 0.5000 0.5000 0.0000  10 Rh 2.83-2.89, 2 Y 3.04

***

10.
## YRh3 (PBE-GGA)

Data for an optimized crystal structure of YRh3.

Results
For the formation energy, the calculation gives -282 meV per atom. The magnetic moment is 0.000 μB per atom. The total energy comes out at -29.648 eV for the cell shown. The density of states at the Fermi level comes out at 5.328 states/eV per cell.

Unit cell a=4.9135 b=4.9135 c=11.4399 alpha=149.73 beta=149.73 gamma=36.18
With the nearest neighbours (Å) after each atom.
Sites, in units of the cell vectors:
Rh1 0.9615 0.9615 0.9686  5 Rh 2.65-2.83, 3 Y 2.90-2.93
Rh2 0.0385 0.0385 0.5314  5 Rh 2.65-2.83, 3 Y 2.90-2.93
Rh3 0.0000 0.0000 0.7500  8 Rh 2.75-3.05, 4 Y 2.88
Y1 0.0000 0.0000 0.2500  10 Rh 2.88-2.93, 2 Y 3.05

***

11.
## YRh (PBE-GGA)

Data for an optimized crystal structure of YRh.

Results
For the formation energy, the calculation gives -682 meV per atom. The magnetic moment is 0.000 μB per atom. The total energy comes out at -45.538 eV for the cell shown. The density of states at the Fermi level comes out at 3.199 states/eV per cell.

Unit cell a=5.4753 b=5.4753 c=7.5840 alpha=70.39 beta=70.39 gamma=37.57
With the nearest neighbours (Å) after each atom.
Sites, in units of the cell vectors:
Y1 0.3650 0.3650 0.3128  7 Rh 2.83-2.98
Y2 0.0120 0.0120 0.6112  6 Rh 2.71-2.94
Y3 0.1836 0.1836 0.9697  7 Rh 2.86-2.98
Rh1 0.9026 0.9026 0.9925  6 Y 2.71-2.93, 1 Rh 2.90
Rh2 0.6405 0.6405 0.3029  7 Y 2.83-2.98, 2 Rh 2.90-3.04
Rh3 0.7296 0.7296 0.6442  7 Y 2.85-2.98, 1 Rh 3.04

***

12.
## YRh2 (PBE-GGA)

Data for an optimized crystal structure of YRh2.

Results
For the formation energy, the calculation gives 351 meV per atom. The magnetic moment is 0.000 μB per atom. The total energy comes out at -80.453 eV for the cell shown. The density of states at the Fermi level comes out at 11.369 states/eV per cell.

Unit cell a=6.3600 b=6.3600 c=6.3600 alpha=90.00 beta=90.00 gamma=90.00
With the nearest neighbours (Å) after each atom.
Sites, in units of the cell vectors:
Y1 0.0000 0.0000 0.0000  6 Rh 2.65
Y2 0.0000 0.5000 0.5000  6 Rh 2.65
Y3 0.5000 0.0000 0.5000  6 Rh 2.65
Y4 0.5000 0.5000 0.0000  6 Rh 2.65
Rh1 0.1181 0.6181 0.8819  1 Rh 2.60, 3 Y 2.65
Rh2 0.1181 0.8819 0.3819  1 Rh 2.60, 3 Y 2.65
Rh3 0.3819 0.1181 0.8819  1 Rh 2.60, 3 Y 2.65
Rh4 0.3819 0.3819 0.3819  1 Rh 2.60, 3 Y 2.65
Rh5 0.6181 0.6181 0.6181  1 Rh 2.60, 3 Y 2.65
Rh6 0.6181 0.8819 0.1181  1 Rh 2.60, 3 Y 2.65
Rh7 0.8819 0.1181 0.6181  1 Rh 2.60, 3 Y 2.65
Rh8 0.8819 0.3819 0.1181  1 Rh 2.60, 3 Y 2.65

***

Repeat the eighth record exactly.
## YRh (PBE-GGA)

Data for an optimized crystal structure of YRh.

Results
For the formation energy, the calculation gives -614 meV per atom. The magnetic moment is 0.000 μB per atom. The total energy comes out at -90.261 eV for the cell shown. The density of states at the Fermi level comes out at 8.771 states/eV per cell.

Unit cell a=9.0496 b=9.0496 c=4.1678 alpha=90.00 beta=90.00 gamma=120.00
With the nearest neighbours (Å) after each atom.
Sites, in units of the cell vectors:
Y1 0.7983 0.5966 0.2500  4 Rh 2.80
Y2 0.2017 0.7983 0.7500  4 Rh 2.80
Y3 0.4034 0.2017 0.2500  4 Rh 2.80
Y4 0.2017 0.4034 0.7500  4 Rh 2.80
Y5 0.7983 0.2017 0.2500  4 Rh 2.80
Y6 0.5966 0.7983 0.7500  4 Rh 2.80
Rh1 0.4348 0.8697 0.2500  4 Rh 2.76-2.92, 4 Y 2.80
Rh2 0.5652 0.4348 0.7500  4 Rh 2.76-2.92, 4 Y 2.80
Rh3 0.1303 0.5652 0.2500  4 Rh 2.76-2.92, 4 Y 2.80
Rh4 0.5652 0.1303 0.7500  4 Rh 2.76-2.92, 4 Y 2.80
Rh5 0.4348 0.5652 0.2500  4 Rh 2.76-2.92, 4 Y 2.80
Rh6 0.8697 0.4348 0.7500  4 Rh 2.76-2.92, 4 Y 2.80

***

> Number 10 is which compound?

YRh3

***

Please write out number 3 again, unchanged.
## YRh3 (PBE-GGA)

Data for an optimized crystal structure of YRh3.

Results
For the formation energy, the calculation gives -246 meV per atom. The magnetic moment is 0.460 μB per atom. The total energy comes out at -29.504 eV for the cell shown. The density of states at the Fermi level comes out at 6.710 states/eV per cell.

Unit cell a=4.5937 b=4.5937 c=4.5937 alpha=60.00 beta=60.00 gamma=60.00
With the nearest neighbours (Å) after each atom.
Sites, in units of the cell vectors:
Rh1 0.0000 0.0000 0.0000  4 Y 2.81, 4 Rh 2.81
Rh2 0.5000 0.5000 0.5000  4 Rh 2.81, 4 Y 2.81
Rh3 0.7500 0.7500 0.7500  8 Rh 2.81
Y1 0.2500 0.2500 0.2500  8 Rh 2.81